Compound: TiPt2Au2
Source: Alexandria via LeMat-Bulk
Functional: PBE
Structure: optimized geometry

a b c (Å): 6.639 6.639 4.055
angles (deg): 90.00 90.00 90.00
Positions (direct):
Au (0.834, 0.334, 0.500)
Au (0.166, 0.666, 0.500)
Au (0.666, 0.834, 0.500)
Au (0.334, 0.166, 0.500)
Pt (0.861, 0.639, 0.000)
Pt (0.139, 0.361, 0.000)
Pt (0.639, 0.139, 0.000)
Pt (0.361, 0.861, 0.000)
Ti (0.000, 0.000, 0.000)
Ti (0.500, 0.500, 0.000)

Values from the calculation:
total DFT energy (no corrections) = -5.53 eV/atom
D(E_F) = 6.64 states/eV/cell

***

Compound: TiPt2Au
Source: Alexandria via LeMat-Bulk
Functional: PBE
Structure: optimized geometry

a b c (Å): 4.625 4.903 5.641
angles (deg): 90.00 90.00 90.00
Positions (direct):
Au (0.000, 0.336, 0.500)
Au (0.500, 0.664, 0.000)
Ti (0.000, 0.327, 0.000)
Ti (0.500, 0.673, 0.500)
Pt (0.000, 0.829, 0.249)
Pt (0.500, 0.171, 0.251)
Pt (0.000, 0.829, 0.751)
Pt (0.500, 0.171, 0.749)

Values from the calculation:
total DFT energy (no corrections) = -6.48 eV/atom
D(E_F) = 3.14 states/eV/cell

***

Compound: TiPt2Au
Source: Alexandria via LeMat-Bulk
Functional: PBE
Structure: optimized geometry

a b c (Å): 7.179 7.179 5.777
angles (deg): 51.59 51.59 90.00
Positions (direct):
Au (0.750, 0.250, 0.500)
Au (0.000, 0.000, 0.000)
Pt (0.375, 0.405, 0.750)
Pt (0.875, 0.845, 0.750)
Pt (0.155, 0.625, 0.250)
Pt (0.595, 0.125, 0.250)
Ti (0.250, 0.750, 0.500)
Ti (0.500, 0.500, 0.000)

Values from the calculation:
total DFT energy (no corrections) = -6.10 eV/atom
D(E_F) = 6.21 states/eV/cell